# 1
Computed, not measured: KSrZr2 after structural relaxation at the GGA-PBE level of DFT.

Computed properties:
Energy of formation in eV/atom: 0.7887
E in eV/atom: -4.1802
Total moment in μB per atom: 0.00

```
4
Lattice="-0.966 -0.518 -3.078 -2.150 -0.799 2.327 -5.006 12.111 -0.468" Properties=species:S:1:pos:R:3 pbc="T T T"
K -2.809 2.369 -0.493
Sr -5.312 8.425 -0.727
Zr -4.925 11.916 -0.461
Zr -2.583 6.251 -0.242
```


# 2
Computed, not measured: ZrMn2Al after structural relaxation at the GGA-PBE level of DFT.

Computed properties:
Energy of formation in eV/atom: -0.0927
E in eV/atom: -7.7502
Total moment in μB per atom: 1.13

```
4
Lattice="-0.616 -0.884 -4.950 -2.332 -4.348 -1.149 -0.922 3.882 3.121" Properties=species:S:1:pos:R:3 pbc="T T T"
Mn 0.000 0.000 0.000
Mn -2.364 -1.541 -0.538
Al -1.506 0.191 -2.439
Zr -1.474 -2.616 -3.049
```


# 3
Computed, not measured: TmCl2F after structural relaxation at the GGA-PBE level of DFT.

Computed properties:
E in eV/atom: -5.4075
E_form (uncorrected) in eV per atom: -2.8985
Total moment in μB per atom: 0.00

```
16
Lattice="5.930 0.000 0.000 0.000 6.830 -0.003 0.000 0.005 10.330" Properties=species:S:1:pos:R:3 pbc="T T T"
Tm 0.000 1.711 6.254
Tm 5.930 5.124 4.073
Tm 2.966 1.712 9.240
Tm 2.965 5.123 1.087
Cl 4.363 6.332 9.542
Cl 1.567 0.503 0.785
Cl 1.398 3.921 5.949
Cl 4.532 2.914 4.378
Cl 4.363 2.913 0.784
Cl 1.567 3.922 9.543
Cl 1.398 0.505 4.379
Cl 4.532 6.330 5.948
F 1.482 4.685 2.580
F 4.448 2.150 7.747
F 4.448 5.563 2.580
F 1.483 1.272 7.747
```


# 4
Computed, not measured: BaPuCl5 after structural relaxation at the GGA-PBE level of DFT.

Computed properties:
E in eV/atom: -5.7813
E_form (uncorrected) in eV per atom: -2.1402
Total moment in μB per atom: 0.71

```
14
Lattice="-6.200 2.526 -3.794 3.311 -5.638 -4.057 -2.598 -6.129 8.459" Properties=species:S:1:pos:R:3 pbc="T T T"
Ba -3.791 -2.615 -3.158
Ba -1.696 -6.626 3.766
Pu 0.000 0.000 0.000
Pu -4.399 -1.802 2.333
Cl -5.125 0.103 -3.534
Cl -0.593 -6.457 0.781
Cl -3.151 -4.038 3.065
Cl 1.362 -6.269 -2.211
Cl -4.230 -8.336 2.864
Cl -1.257 -0.905 -2.256
Cl -6.849 -2.972 2.819
Cl -2.336 -5.203 -2.457
Cl -4.894 -2.784 -0.173
Cl -0.362 -9.344 4.142
```


# 5
Computed, not measured: Be2CoPt after structural relaxation at the GGA-PBE level of DFT.

Computed properties:
Energy of formation in eV/atom: 0.0054
E in eV/atom: -5.1443
Total moment in μB per atom: 0.23

```
8
Lattice="-1.773 -0.090 -5.655 -5.052 -2.639 1.626 -4.514 0.934 -1.706" Properties=species:S:1:pos:R:3 pbc="T T T"
Be -2.843 -0.151 -3.678
Be -4.533 -1.428 -0.197
Be -6.016 -0.360 -2.768
Be -9.286 -1.650 -4.828
Co -3.412 -1.365 -2.015
Co -6.489 -1.535 -1.048
Pt 0.000 0.000 0.000
Pt -4.850 -0.260 -4.688
```


# 6
Computed, not measured: KGeRh3 after structural relaxation at the GGA-PBE level of DFT.

Computed properties:
Energy of formation in eV/atom: 0.4413
E in eV/atom: -5.1126
Total moment in μB per atom: 0.26

```
5
Lattice="4.701 0.000 0.000 0.000 4.701 0.000 0.000 0.000 4.701" Properties=species:S:1:pos:R:3 pbc="T T T"
Ge 0.000 0.000 0.000
Rh 0.000 2.350 0.000
Rh 0.000 0.000 2.350
Rh 2.350 0.000 0.000
K 2.350 2.350 2.350
```


> What is the total moment in the third record?

0.00 μB per atom


> Which value of E does entry 5 give?

-5.1443 eV/atom